{"formula": "Cs3BaFe2F9", "functional": "PBE+U", "state": "optimized geometry", "lattice_angstrom": [[6.4546, 0.0000, 0.0000], [-3.2273, 5.5898, 0.0000], [0.0000, 0.0000, 7.9644]], "species": ["Cs", "Cs", "Cs", "Ba", "Fe", "Fe", "F", "F", "F", "F", "F", "F", "F", "F", "F"], "frac_coords": [[0.0000, 0.0000, 0.0000], [0.3333, 0.6667, 0.6901], [0.6667, 0.3333, 0.3099], [0.0000, 0.0000, 0.5000], [0.3333, 0.6667, 0.1486], [0.6667, 0.3333, 0.8514], [0.0000, 0.5000, 0.0000], [0.1807, 0.3615, 0.3004], [0.1807, 0.8193, 0.3004], [0.3615, 0.1807, 0.6996], [0.5000, 0.0000, 0.0000], [0.5000, 0.5000, 0.0000], [0.6385, 0.8193, 0.3004], [0.8193, 0.1807, 0.6996], [0.8193, 0.6385, 0.6996]], "m_tot_mub_per_fu": 8.000, "dft_energy_ev_per_cell": -75.2}